A crystal of La2NiCl relaxed with PBEsol, computed with meta-GGA SCAN.

Summary:
Its uncorrected formation energy is -1.097 eV per atom. The value obtained for the energy above the most stable polymorph in this dataset is 0 meV per atom.

abc: 7.2955 3.8913 7.6417
angles: 90.00 108.88 90.00
Space group C2/m (No. 12)
Inequivalent atoms, fractional coordinates:
La: 0.2244 0.0000 0.2137 (multiplicity 4)
Ni: 0.0000 0.5000 0.0000 (multiplicity 2)
Cl: 0.0000 0.0000 0.5000 (multiplicity 2)


A crystal of Y2AuSe2 relaxed with PBEsol, computed with meta-GGA SCAN.

Summary:
Its uncorrected formation energy is -1.261 eV per atom.

abc: 5.1480 5.1480 9.9037
angles: 90.00 90.00 90.00
Space group I4/mmm (No. 139)
Inequivalent atoms, fractional coordinates:
Y: 0.0000 0.5000 0.2500 (multiplicity 4)
Au: 0.0000 0.0000 0.0000 (multiplicity 2)
Se: 0.0000 0.0000 0.3458 (multiplicity 4)


A crystal of LaBeHF2 relaxed with PBEsol, computed with meta-GGA SCAN.

Summary:
The total energy is -12.97 eV/atom.

abc: 4.3314 4.3314 3.1438
angles: 90.00 90.00 90.00
Space group P4/mmm (No. 123)
Inequivalent atoms, fractional coordinates:
La: 0.0000 0.0000 0.0000 (multiplicity 1)
Be: 0.5000 0.5000 0.0000 (multiplicity 1)
H: 0.5000 0.5000 0.5000 (multiplicity 1)
F: 0.0000 0.5000 0.5000 (multiplicity 2)


A crystal of MgCoTe2I relaxed with PBEsol, computed with meta-GGA SCAN.

Summary:
Its uncorrected formation energy is 0.654 eV per atom.

abc: 5.3815 5.3815 5.4494
angles: 90.00 90.00 90.00
Space group P4/mmm (No. 123)
Inequivalent atoms, fractional coordinates:
Mg: 0.0000 0.0000 0.0000 (multiplicity 1)
Co: 0.5000 0.5000 0.5000 (multiplicity 1)
Te: 0.0000 0.5000 0.0000 (multiplicity 2)
I: 0.0000 0.0000 0.5000 (multiplicity 1)


A crystal of MnReNi2 relaxed with PBEsol, computed with meta-GGA SCAN.

Summary:
The value obtained for the energy above the most stable polymorph in this dataset is 30 meV per atom. The energy of formation from the pure elements is 0.018 eV per atom.

abc: 8.4991 2.6101 4.3098
angles: 90.00 100.84 90.00
Space group C2/m (No. 12)
Inequivalent atoms, fractional coordinates:
Mn: 0.0000 0.0000 0.0000 (multiplicity 2)
Re: 0.0000 0.5000 0.5000 (multiplicity 2)
Ni: 0.2491 0.5000 0.2496 (multiplicity 4)


A crystal of Dy5Ni2Bi relaxed with PBEsol, computed with meta-GGA SCAN.

Summary:
The energy of formation from the pure elements is -0.522 eV per atom.

abc: 7.5671 7.5671 13.2713
angles: 90.00 90.00 90.00
Space group I4/mcm (No. 140)
Inequivalent atoms, fractional coordinates:
Dy: 0.0000 0.0000 0.0000 (multiplicity 4)
Dy: 0.1561 0.3439 0.1338 (multiplicity 16)
Ni: 0.1308 0.3692 0.5000 (multiplicity 8)
Bi: 0.0000 0.0000 0.2500 (multiplicity 4)


A crystal of YZrBe2 relaxed with PBEsol, computed with meta-GGA SCAN.

Summary:
The energy of formation from the pure elements is -0.014 eV per atom.

abc: 3.2499 3.2499 6.4725
angles: 90.00 90.00 90.00
Space group P4/mmm (No. 123)
Inequivalent atoms, fractional coordinates:
Y: 0.0000 0.0000 0.0000 (multiplicity 1)
Zr: 0.0000 0.0000 0.5000 (multiplicity 1)
Be: 0.5000 0.5000 0.2817 (multiplicity 2)


A crystal of CoW2Au relaxed with PBEsol, computed with meta-GGA SCAN.

Summary:
The value obtained for the energy above the most stable polymorph in this dataset is 32 meV per atom. The energy of formation from the pure elements is 0.346 eV per atom.

abc: 2.7566 3.6810 5.7527
angles: 90.00 90.00 90.00
Space group Pmm2 (No. 25)
Inequivalent atoms, fractional coordinates:
Co: 0.0000 0.0000 0.0000 (multiplicity 1)
W: 0.0000 0.0000 0.4693 (multiplicity 1)
W: 0.5000 0.5000 0.2019 (multiplicity 1)
Au: 0.5000 0.5000 0.7405 (multiplicity 1)


A crystal of BaSrMg2 relaxed with PBEsol, computed with meta-GGA SCAN.

Summary:
The value obtained for the energy above the most stable polymorph in this dataset is 35 meV per atom. The energy of formation from the pure elements is -0.015 eV per atom.

abc: 4.0339 6.0673 12.1415
angles: 90.00 90.00 90.00
Space group Imm2 (No. 44)
Inequivalent atoms, fractional coordinates:
Ba: 0.0000 0.0000 0.0000 (multiplicity 2)
Sr: 0.0000 0.5000 0.7966 (multiplicity 2)
Mg: 0.0000 0.0000 0.5510 (multiplicity 2)
Mg: 0.0000 0.5000 0.2406 (multiplicity 2)


A crystal of LaHg2 relaxed with PBEsol, computed with meta-GGA SCAN.

Summary:
The energy of formation from the pure elements is -0.581 eV per atom.

abc: 3.9793 3.9793 9.9121
angles: 90.00 90.00 90.00
Space group I4/mmm (No. 139)
Inequivalent atoms, fractional coordinates:
La: 0.0000 0.0000 0.0000 (multiplicity 2)
Hg: 0.0000 0.0000 0.3288 (multiplicity 4)


A crystal of Ge2Bi2Au relaxed with PBEsol, computed with meta-GGA SCAN.

Summary:
The energy of formation from the pure elements is 0.032 eV per atom.

abc: 6.4555 6.4555 5.8772
angles: 90.00 90.00 90.00
Space group P4/mbm (No. 127)
Inequivalent atoms, fractional coordinates:
Ge: 0.1360 0.3640 0.0000 (multiplicity 4)
Bi: 0.1903 0.3097 0.5000 (multiplicity 4)
Au: 0.0000 0.0000 0.0000 (multiplicity 2)


A crystal of LaCdPt3 relaxed with PBEsol, computed with meta-GGA SCAN.

Summary:
The value obtained for the energy above the most stable polymorph in this dataset is 821 meV per atom. The energy of formation from the pure elements is 0.903 eV per atom.

abc: 5.1212 5.1212 5.1212
angles: 90.00 90.00 90.00
Space group Pm-3m (No. 221)
Inequivalent atoms, fractional coordinates:
La: 0.0000 0.0000 0.0000 (multiplicity 1)
Cd: 0.5000 0.5000 0.5000 (multiplicity 1)
Pt: 0.0000 0.0000 0.5000 (multiplicity 3)


A crystal of Hg2MoPt relaxed with PBEsol, computed with meta-GGA SCAN.

Summary:
The value obtained for the energy above the most stable polymorph in this dataset is 0 meV per atom. The energy of formation from the pure elements is 0.234 eV per atom.

abc: 2.9019 2.9019 29.3447
angles: 90.00 90.00 120.00
Space group R3m (No. 160, hexagonal axes)
Inequivalent atoms, fractional coordinates:
Hg: 0.0000 0.0000 0.0000 (multiplicity 3)
Hg: 0.0000 0.0000 0.2377 (multiplicity 3)
Mo: 0.0000 0.0000 0.7504 (multiplicity 3)
Pt: 0.0000 0.0000 0.4871 (multiplicity 3)


A crystal of Y2HgPt relaxed with PBEsol, computed with meta-GGA SCAN.

Summary:
The energy of formation from the pure elements is -1.063 eV per atom.

abc: 5.0036 5.0036 3.5622
angles: 90.00 90.00 90.00
Space group P4/mmm (No. 123)
Inequivalent atoms, fractional coordinates:
Y: 0.0000 0.5000 0.0000 (multiplicity 2)
Hg: 0.0000 0.0000 0.5000 (multiplicity 1)
Pt: 0.5000 0.5000 0.5000 (multiplicity 1)


A crystal of Y2AsIr relaxed with PBEsol, computed with meta-GGA SCAN.

Summary:
The energy of formation from the pure elements is -1.021 eV per atom.

abc: 6.8004 6.8075 3.5527
angles: 90.00 90.00 90.00
Space group Cmmm (No. 65)
Inequivalent atoms, fractional coordinates:
Y: 0.2500 0.2500 0.0000 (multiplicity 4)
As: 0.0000 0.0000 0.5000 (multiplicity 2)
Ir: 0.0000 0.5000 0.5000 (multiplicity 2)


A crystal of SrMnTl relaxed with PBEsol, computed with meta-GGA SCAN.

Summary:
The energy of formation from the pure elements is -0.008 eV per atom.

abc: 7.1883 7.1883 7.1883
angles: 90.00 90.00 90.00
Space group F-43m (No. 216)
Inequivalent atoms, fractional coordinates:
Sr: 0.0000 0.0000 0.0000 (multiplicity 4)
Mn: 0.0000 0.0000 0.5000 (multiplicity 4)
Tl: 0.2500 0.2500 0.2500 (multiplicity 4)


A crystal of MgAsRu2 relaxed with PBEsol, computed with meta-GGA SCAN.

Summary:
The energy of formation from the pure elements is -0.065 eV per atom.

abc: 8.6512 2.9712 4.7885
angles: 90.00 106.29 90.00
Space group C2/m (No. 12)
Inequivalent atoms, fractional coordinates:
Mg: 0.0000 0.0000 0.0000 (multiplicity 2)
As: 0.0000 0.5000 0.5000 (multiplicity 2)
Ru: 0.2260 0.0000 0.7145 (multiplicity 4)


A crystal of InTePb2 relaxed with PBEsol, computed with meta-GGA SCAN.

Summary:
Its uncorrected formation energy is -0.001 eV per atom. The value obtained for the energy above the most stable polymorph in this dataset is 0 meV per atom.

abc: 4.1115 5.1140 5.4963
angles: 90.00 90.00 90.00
Space group Pmmm (No. 47)
Inequivalent atoms, fractional coordinates:
In: 0.0000 0.0000 0.0000 (multiplicity 1)
Te: 0.5000 0.0000 0.5000 (multiplicity 1)
Pb: 0.0000 0.5000 0.5000 (multiplicity 1)
Pb: 0.5000 0.5000 0.0000 (multiplicity 1)


A crystal of TaP2Pb relaxed with PBEsol, computed with meta-GGA SCAN.

Summary:
The energy of formation from the pure elements is 0.347 eV per atom.

abc: 3.2181 5.8197 8.7601
angles: 90.00 90.00 90.00
Space group Immm (No. 71)
Inequivalent atoms, fractional coordinates:
Ta: 0.0000 0.0000 0.0000 (multiplicity 2)
P: 0.0000 0.5000 0.2905 (multiplicity 4)
Pb: 0.0000 0.0000 0.5000 (multiplicity 2)


A crystal of RbPSCl2 relaxed with PBEsol, computed with meta-GGA SCAN.

Summary:
Its uncorrected formation energy is -0.343 eV per atom. The value obtained for the energy above the most stable polymorph in this dataset is 451 meV per atom.

abc: 5.6266 5.6266 4.1908
angles: 90.00 90.00 90.00
Space group P4/mmm (No. 123)
Inequivalent atoms, fractional coordinates:
Rb: 0.0000 0.0000 0.0000 (multiplicity 1)
P: 0.5000 0.5000 0.0000 (multiplicity 1)
S: 0.5000 0.5000 0.5000 (multiplicity 1)
Cl: 0.0000 0.5000 0.5000 (multiplicity 2)


| no. | M_tot (μB/atom) |
| --- | --- |
| 1 | 0.00 |
| 2 | 0.00 |
| 3 | 0.00 |
| 4 | 0.56 |
| 5 | 0.76 |
| 6 | 0.00 |
| 7 | 0.00 |
| 8 | 0.30 |
| 9 | 0.03 |
| 10 | 0.09 |
| 11 | 0.00 |
| 12 | 0.00 |
| 13 | 0.00 |
| 14 | 0.00 |
| 15 | 0.00 |
| 16 | 1.32 |
| 17 | 0.00 |
| 18 | 0.00 |
| 19 | 0.00 |
| 20 | 0.00 |